This record from Alexandria via LeMat-Bulk describes crystalline KBeH3 at its relaxed geometry. The functional is PBEsol. Values from VASP.

Results
SG: No. 14
Energy, eV for the cell shown: -61.34

The structure in Quantum ESPRESSO input format:
```
&SYSTEM
  ibrav = 0, nat = 20, ntyp = 3
/
ATOMIC_SPECIES
K 39.10 K.upf
H 1.01 H.upf
Be 9.01 Be.upf
CELL_PARAMETERS angstrom
-2.262 -4.665 0.696
0.673 -1.255 -6.219
7.689 -3.142 3.922
ATOMIC_POSITIONS crystal
K 0.748 0.764 0.789
K 0.248 0.236 0.711
K 0.252 0.236 0.211
K 0.752 0.764 0.289
H 0.246 0.654 0.841
H 0.511 0.164 0.433
H 0.746 0.346 0.659
H 0.011 0.836 0.067
H 0.989 0.164 0.933
H 0.489 0.836 0.567
H 0.478 0.835 0.068
H 0.254 0.654 0.341
H 0.754 0.346 0.159
H 0.978 0.165 0.432
H 0.022 0.835 0.568
H 0.522 0.165 0.932
Be 0.255 0.774 0.493
Be 0.245 0.774 0.993
Be 0.755 0.226 0.007
Be 0.745 0.226 0.507
```